No. 1
VASP calculation (PBE-GGA) on crystalline Pm3Ge3Rh at its relaxed geometry.

Energy of formation = -0.8849 eV per atom
SG = C2/m
Polymorph energy (0 for the lowest one) = 0 meV per atom

abc: 5.8736 5.8736 14.3161
angles: 108.62 108.62 43.75
Closest atoms and distances in Å follow each position.
Atoms (fractional coordinates):
Pm 0.0302 0.0302 0.3798  7 Ge 3.06-3.39, 4 Rh 3.15-3.30
Pm 0.1014 0.1014 0.9216  7 Ge 3.06-3.24
Pm 0.2451 0.2451 0.2334  6 Ge 3.06-3.21, 2 Rh 3.17
Pm 0.7549 0.7549 0.7666  6 Ge 3.06-3.21, 2 Rh 3.17
Pm 0.8986 0.8986 0.0784  7 Ge 3.06-3.24
Pm 0.9698 0.9698 0.6202  7 Ge 3.06-3.39, 4 Rh 3.15-3.30
Ge 0.3612 0.3612 0.4605  3 Rh 2.53-2.73
Ge 0.3835 0.3835 0.9254  2 Ge 2.68-2.70
Ge 0.4606 0.4606 0.7668  1 Rh 2.63, 1 Ge 2.68
Ge 0.5394 0.5394 0.2332  1 Rh 2.63, 1 Ge 2.68
Ge 0.6165 0.6165 0.0746  2 Ge 2.68-2.70
Ge 0.6388 0.6388 0.5395  3 Rh 2.53-2.73
Rh 0.2510 0.2510 0.6053  4 Ge 2.53-2.73
Rh 0.7490 0.7490 0.3947  4 Ge 2.53-2.73

No. 2
VASP calculation (PBE-GGA) on crystalline CaErTl at its relaxed geometry.

Energy of formation = 0.2264 eV per atom
SG = I4mm
Polymorph energy (0 for the lowest one) = 528 meV per atom

abc: 9.0235 9.0235 9.0235
angles: 157.80 157.80 31.59
Closest atoms and distances in Å follow each position.
Atoms (fractional coordinates):
Ca 0.0000 0.0000 0.0000  1 Tl 3.09, 1 Er 3.46
Er 0.8009 0.8009 0.0000  4 Tl 3.26, 1 Ca 3.46, 4 Er 3.47
Tl 0.1779 0.1779 0.0000  1 Ca 3.09, 4 Er 3.26

No. 3
VASP calculation (PBE-GGA) on crystalline Sc3BiBr at its relaxed geometry.

Energy relative to the elements, uncorrected = -0.17 eV/atom
SG = Pm-3m
Polymorph energy (0 for the lowest one) = 0 meV per atom

abc: 5.0217 5.0217 5.0217
angles: 90.00 90.00 90.00
Closest atoms and distances in Å follow each position.
Atoms (fractional coordinates):
Sc 0.0000 0.0000 0.5000  2 Br 2.51
Sc 0.0000 0.5000 0.0000  2 Br 2.51
Sc 0.5000 0.0000 0.0000  2 Br 2.51
Bi 0.5000 0.5000 0.5000  12 Sc 3.55
Br 0.0000 0.0000 0.0000  6 Sc 2.51

No. 4
VASP calculation (PBE-GGA) on crystalline Pu2GaGe3 at its relaxed geometry.

Energy of formation = -0.3398 eV per atom
SG = Pmm2

abc: 3.9352 4.2956 7.4951
angles: 90.00 90.00 90.00
Closest atoms and distances in Å follow each position.
Atoms (fractional coordinates):
Pu 0.0000 0.0000 0.0000  8 Ge 3.14-3.20, 4 Ga 3.20
Pu 0.0000 0.5000 0.4862  10 Ge 3.14-3.20, 2 Ga 3.21
Ga 0.5000 0.5000 0.8238  3 Ge 2.46-2.48
Ge 0.5000 0.0000 0.3283  3 Ge 2.51
Ge 0.5000 0.0000 0.6636  2 Ga 2.46, 1 Ge 2.51
Ge 0.5000 0.5000 0.1551  1 Ga 2.48, 2 Ge 2.51

No. 5
VASP calculation (PBE-GGA) on crystalline Mo2WAu at its relaxed geometry.

Energy of formation = 0.4129 eV per atom
SG = R3m
Polymorph energy (0 for the lowest one) = 266 meV per atom

abc: 9.9335 9.9335 9.9335
angles: 16.16 16.16 16.16
Closest atoms and distances in Å follow each position.
Atoms (fractional coordinates):
Mo 0.0000 0.0000 0.0000  9 Mo 2.79-2.92, 3 W 2.93
Mo 0.2504 0.2504 0.2504  9 Mo 2.79-2.92, 3 Au 2.94
W 0.7499 0.7499 0.7499  6 W 2.79, 3 Mo 2.93, 3 Au 2.94
Au 0.5002 0.5002 0.5002  6 Au 2.79, 3 Mo 2.94, 3 W 2.94

No. 6
VASP calculation (PBE-GGA) on crystalline HfSnPb2O6 at its relaxed geometry.

Energy relative to the elements, uncorrected = -1.98 eV/atom
SG = Pmmn

abc: 5.8758 8.2791 5.9128
angles: 90.00 90.00 90.00
Closest atoms and distances in Å follow each position.
Atoms (fractional coordinates):
Hf 0.2500 0.2500 0.2324  6 O 2.01-2.17
Hf 0.7500 0.7500 0.7676  6 O 2.01-2.17
Sn 0.2500 0.7500 0.2427  6 O 2.06-2.11
Sn 0.7500 0.2500 0.7573  6 O 2.06-2.11
Pb 0.2500 0.0215 0.7044  3 O 2.51-2.60
Pb 0.2500 0.4785 0.7044  3 O 2.51-2.60
Pb 0.7500 0.5215 0.2956  3 O 2.51-2.60
Pb 0.7500 0.9785 0.2956  3 O 2.51-2.60
O 0.0030 0.2500 0.9973  1 Hf 2.01, 1 Sn 2.06
O 0.0131 0.2500 0.5145  1 Sn 2.11, 1 Hf 2.17
O 0.2500 0.0005 0.2809  1 Hf 2.09, 1 Sn 2.09
O 0.2500 0.4995 0.2809  1 Hf 2.09, 1 Sn 2.09
O 0.4869 0.2500 0.5145  1 Sn 2.11, 1 Hf 2.17
O 0.4970 0.2500 0.9973  1 Hf 2.01, 1 Sn 2.06
O 0.5030 0.7500 0.0027  1 Hf 2.01, 1 Sn 2.06
O 0.5131 0.7500 0.4855  1 Sn 2.11, 1 Hf 2.17
O 0.7500 0.9995 0.7191  1 Hf 2.09, 1 Sn 2.09
O 0.7500 0.5005 0.7191  1 Hf 2.09, 1 Sn 2.09
O 0.9869 0.7500 0.4855  1 Sn 2.11, 1 Hf 2.17
O 0.9970 0.7500 0.0027  1 Hf 2.01, 1 Sn 2.06

No. 7
VASP calculation (PBE-GGA) on crystalline CeZrZnAg at its relaxed geometry.

Energy of formation = -0.0220 eV per atom
SG = F-43m

abc: 5.0262 5.0262 5.0262
angles: 60.00 60.00 60.00
Closest atoms and distances in Å follow each position.
Atoms (fractional coordinates):
Ce 0.0000 0.0000 0.0000  4 Zn 3.08, 4 Ag 3.08
Zr 0.5000 0.5000 0.5000  4 Zn 3.08, 4 Ag 3.08
Zn 0.2500 0.2500 0.2500  4 Zr 3.08, 4 Ce 3.08
Ag 0.7500 0.7500 0.7500  4 Zr 3.08, 4 Ce 3.08

No. 8
VASP calculation (PBE-GGA) on crystalline Sr2Si3 at its relaxed geometry.

Energy relative to the elements, uncorrected = -0.32 eV/atom
SG = Imm2
Polymorph energy (0 for the lowest one) = 79 meV per atom

abc: 8.1210 8.1210 8.1210
angles: 152.33 146.25 44.19
Closest atoms and distances in Å follow each position.
Atoms (fractional coordinates):
Sr 0.0000 0.0000 0.0000  8 Si 3.20-3.55
Sr 0.7445 0.2445 0.5000  10 Si 3.26-3.48
Si 0.1693 0.6693 0.5000  1 Si 2.32
Si 0.3236 0.8236 0.5000  3 Si 2.32-2.38
Si 0.4148 0.4148 0.0000  2 Si 2.38

No. 9
VASP calculation (PBE-GGA) on crystalline KBeCoH6 at its relaxed geometry.

Raw total energy = -33.325 eV/cell
SG = P312

abc: 4.1585 4.1585 5.6433
angles: 90.00 90.00 120.00
Closest atoms and distances in Å follow each position.
Atoms (fractional coordinates):
K 0.0000 0.0000 0.0000  6 H 2.48
Be 0.3333 0.6667 0.5000  6 H 1.64
Co 0.6667 0.3333 0.5000  6 H 1.54
H 0.3824 0.0186 0.6581  1 Co 1.54, 1 Be 1.64
H 0.3824 0.3638 0.3419  1 Co 1.54, 1 Be 1.64
H 0.6362 0.0186 0.3419  1 Co 1.54, 1 Be 1.64
H 0.6362 0.6176 0.6581  1 Co 1.54, 1 Be 1.64
H 0.9814 0.3638 0.6581  1 Co 1.54, 1 Be 1.64
H 0.9814 0.6176 0.3419  1 Co 1.54, 1 Be 1.64

No. 10
VASP calculation (PBE-GGA) on crystalline Ac2Nd3Tm2 at its relaxed geometry.

Energy of formation = 0.2913 eV per atom
SG = C2/m

abc: 9.2932 9.2932 5.8872
angles: 108.32 108.32 34.44
Closest atoms and distances in Å follow each position.
Atoms (fractional coordinates):
Ac 0.1099 0.1099 0.1090  6 Nd 3.47-3.75, 1 Ac 3.68
Ac 0.8901 0.8901 0.8910  6 Nd 3.47-3.75, 1 Ac 3.68
Nd 0.0000 0.0000 0.5000  4 Tm 3.32, 4 Ac 3.47
Nd 0.2378 0.2378 0.7359  4 Tm 3.48-3.90, 4 Ac 3.64-3.75
Nd 0.7622 0.7622 0.2641  4 Tm 3.48-3.90, 4 Ac 3.64-3.75
Tm 0.3896 0.3896 0.3886  4 Nd 3.32-3.48, 1 Tm 3.70
Tm 0.6104 0.6104 0.6114  4 Nd 3.32-3.48, 1 Tm 3.70

No. 11
VASP calculation (PBE-GGA) on crystalline In9Ga2Bi at its relaxed geometry.

Energy of formation = 0.0398 eV per atom
SG = P-1

abc: 4.5443 4.5448 15.3830
angles: 90.31 90.12 90.00
Closest atoms and distances in Å follow each position.
Atoms (fractional coordinates):
In 0.0000 0.0000 0.0000  8 In 3.21-3.37, 4 Ga 3.33
In 0.0001 0.0005 0.3221  8 In 3.21-3.57, 2 Ga 3.39-3.40, 2 Bi 3.55-3.56
In 0.9999 0.9995 0.6779  8 In 3.21-3.57, 2 Ga 3.39-3.40, 2 Bi 3.55-3.56
In 0.0000 0.4999 0.1610  4 Ga 3.21, 8 In 3.35-3.37
In 0.0000 0.5000 0.5000  4 Bi 3.21, 8 In 3.55-3.57
In 0.0000 0.5001 0.8390  4 Ga 3.21, 8 In 3.35-3.37
In 0.5000 0.5000 0.0000  8 In 3.21-3.37, 4 Ga 3.32-3.34
In 0.5002 0.5002 0.3221  8 In 3.21-3.56, 2 Ga 3.38-3.40, 2 Bi 3.55-3.57
In 0.4998 0.4998 0.6779  8 In 3.21-3.56, 2 Ga 3.38-3.40, 2 Bi 3.55-3.57
Ga 0.5000 0.9999 0.1583  12 In 3.21-3.40
Ga 0.5000 0.0001 0.8417  12 In 3.21-3.40
Bi 0.5000 0.0000 0.5000  12 In 3.21-3.57